# 1
First-principles (PBE) data for a relaxed TbZnSn2 crystal, as listed in the Alexandria database.

Cell: 4.370 4.370 9.857 Å, 90.00 90.00 90.00°
Space group P4/nmm (No. 129, origin choice 2)
Inequivalent atoms, fractional coordinates:
Tb  0.250  0.250  0.249 x2
Zn  0.250  0.750  0.000 x2
Sn  0.250  0.250  0.816 x2
Sn  0.250  0.750  0.500 x2

Results
The energy is -31.5 eV for the cell shown. The value obtained for the total magnetization is 0.0 μB per formula unit. The value obtained for the formation enthalpy at 0 K is -465 meV/atom. The calculation puts the calculated volume at 188.3 Å³/cell. As for the crystal system: tetragonal. The calculation puts the density of states at the Fermi level at 0.340 states/eV per atom. Its density is 8.1 Mg/m³.


# 2
First-principles (PBE) data for a relaxed TbZn4Sn crystal, as listed in the Alexandria database.

Cell: 7.746 7.746 7.746 Å, 90.00 90.00 90.00°
Space group F-43m (No. 216)
Inequivalent atoms, fractional coordinates:
Tb  0.000  0.000  0.000 x4
Zn  0.125  0.125  0.625 x16
Sn  0.250  0.250  0.250 x4

Results
The energy is -58.9 eV for the cell shown. The value obtained for the total magnetization is 0.0 μB per formula unit. The value obtained for the formation enthalpy at 0 K is -167 meV/atom. The calculation puts the calculated volume at 464.8 Å³/cell. As for the crystal system: cubic. The calculation puts the density of states at the Fermi level at 0.372 states/eV per atom. Its density is 7.7 Mg/m³.


# 3
First-principles (PBE) data for a relaxed TbZrSn crystal, as listed in the Alexandria database.

Cell: 5.1616 5.1616 3.1596 Å, 90.00 90.00 120.00°
Space group P3m1 (No. 156)
Inequivalent atoms, fractional coordinates:
Tb  0.0000  0.0000  0.0000 x1
Zr  0.6667  0.3333  0.9969 x1
Sn  0.3333  0.6667  0.5006 x1

Results
The energy is -17.3 eV for the cell shown. The value obtained for the total magnetization is 0.0 μB per formula unit. The value obtained for the formation enthalpy at 0 K is -52 meV/atom. The calculation puts the calculated volume at 72.9 Å³/cell. As for the crystal system: trigonal. The calculation puts the density of states at the Fermi level at 0.961 states/eV per atom. Its density is 8.4 Mg/m³.


# 4
First-principles (PBE) data for a relaxed TbZr2Sn crystal, as listed in the Alexandria database.

Cell: 4.392 4.392 10.930 Å, 90.00 101.55 90.00°
Space group P2_1/m (No. 11)
Inequivalent atoms, fractional coordinates:
Tb  0.190  0.250  0.381 x2
Zr  0.054  0.750  0.108 x2
Zr  0.448  0.750  0.894 x2
Sn  0.341  0.250  0.680 x2

Results
The energy is -55.2 eV for the cell shown. The value obtained for the total magnetization is 0.0 μB per formula unit. The value obtained for the formation enthalpy at 0 K is -465 meV/atom. The calculation puts the calculated volume at 206.6 Å³/cell. As for the crystal system: monoclinic. The calculation puts the density of states at the Fermi level at 0.652 states/eV per atom. Its density is 7.4 Mg/m³. Its energy above the most stable polymorph in this dataset is 0.0000 eV/atom.


# 5
First-principles (PBE) data for a relaxed TbZrSn crystal, as listed in the Alexandria database.

Cell: 3.909 3.909 9.771 Å, 90.00 90.00 90.00°
Space group I4mm (No. 107)
Inequivalent atoms, fractional coordinates:
Tb  0.000  0.000  0.000 x2
Zr  0.000  0.000  0.315 x2
Sn  0.000  0.000  0.670 x2

Results
The energy is -36.5 eV for the cell shown. The value obtained for the total magnetization is 0.0 μB per formula unit. The value obtained for the formation enthalpy at 0 K is -355 meV/atom. The calculation puts the calculated volume at 149.3 Å³/cell. As for the crystal system: tetragonal. The calculation puts the density of states at the Fermi level at 1.290 states/eV per atom. Its density is 8.2 Mg/m³.


# 6
First-principles (PBE) data for a relaxed Tb3Zr2Sn3 crystal, as listed in the Alexandria database.

Cell: 8.8772 8.8772 6.1153 Å, 90.00 90.00 120.00°
Space group P6_3/mcm (No. 193)
Inequivalent atoms, fractional coordinates:
Tb  0.0000  0.2410  0.2500 x6
Zr  0.3333  0.6667  0.0000 x4
Sn  0.0000  0.4006  0.7500 x6

Results
The energy is -96.7 eV for the cell shown. The value obtained for the total magnetization is 0.0 μB per formula unit. The value obtained for the formation enthalpy at 0 K is -666 meV/atom. The calculation puts the calculated volume at 417.3 Å³/cell. As for the crystal system: hexagonal. The calculation puts the density of states at the Fermi level at 1.029 states/eV per atom. Its density is 8.1 Mg/m³.


# 7
First-principles (PBE) data for a relaxed TbZrSn2 crystal, as listed in the Alexandria database.

Cell: 3.4014 3.4014 30.1873 Å, 90.00 90.00 120.00°
Space group R-3m (No. 166, hexagonal axes)
Inequivalent atoms, fractional coordinates:
Tb  0.0000  0.0000  0.0000 x3
Zr  0.0000  0.0000  0.5000 x3
Sn  0.0000  0.0000  0.2460 x6

Results
The energy is -68.0 eV for the cell shown. The value obtained for the total magnetization is 0.0 μB per formula unit. The value obtained for the formation enthalpy at 0 K is -372 meV/atom. The calculation puts the calculated volume at 302.5 Å³/cell. As for the crystal system: trigonal. The calculation puts the density of states at the Fermi level at 0.578 states/eV per atom. Its density is 8.0 Mg/m³. Its energy above the most stable polymorph in this dataset is 0.1070 eV/atom.


# 8
First-principles (PBE) data for a relaxed TbZrSn2 crystal, as listed in the Alexandria database.

Cell: 3.892 3.892 6.563 Å, 90.00 90.00 90.00°
Space group P4/mmm (No. 123)
Inequivalent atoms, fractional coordinates:
Tb  0.000  0.000  0.000 x1
Zr  0.000  0.000  0.500 x1
Sn  0.500  0.500  0.273 x2

Results
The energy is -23.1 eV for the cell shown. The value obtained for the total magnetization is 0.0 μB per formula unit. The value obtained for the formation enthalpy at 0 K is -479 meV/atom. The calculation puts the calculated volume at 99.4 Å³/cell. As for the crystal system: tetragonal. The calculation puts the density of states at the Fermi level at 0.903 states/eV per atom. Its density is 8.1 Mg/m³. Its energy above the most stable polymorph in this dataset is 0.0000 eV/atom.


# 9
First-principles (PBE) data for a relaxed TbZrSn2 crystal, as listed in the Alexandria database.

Cell: 4.699 4.699 4.407 Å, 90.00 90.00 90.00°
Space group P4/mmm (No. 123)
Inequivalent atoms, fractional coordinates:
Tb  0.000  0.000  0.000 x1
Zr  0.500  0.500  0.000 x1
Sn  0.000  0.500  0.500 x2

Results
The energy is -23.1 eV for the cell shown. The value obtained for the total magnetization is 0.0 μB per formula unit. The value obtained for the formation enthalpy at 0 K is -474 meV/atom. The calculation puts the calculated volume at 97.3 Å³/cell. As for the crystal system: tetragonal. The calculation puts the density of states at the Fermi level at 0.664 states/eV per atom. Its density is 8.3 Mg/m³. Its energy above the most stable polymorph in this dataset is 0.0055 eV/atom.


# 10
First-principles (PBE) data for a relaxed TbZr2Sn crystal, as listed in the Alexandria database.

Cell: 3.2063 3.2063 34.3669 Å, 90.00 90.00 120.00°
Space group R-3m (No. 166, hexagonal axes)
Inequivalent atoms, fractional coordinates:
Tb  0.0000  0.0000  0.0000 x3
Zr  0.0000  0.0000  0.0930 x6
Sn  0.0000  0.0000  0.5000 x3

Results
The energy is -75.7 eV for the cell shown. The value obtained for the total magnetization is 0.0 μB per formula unit. The value obtained for the formation enthalpy at 0 K is 122 meV/atom. The calculation puts the calculated volume at 306.0 Å³/cell. As for the crystal system: trigonal. The calculation puts the density of states at the Fermi level at 1.389 states/eV per atom. Its density is 7.5 Mg/m³. Its energy above the most stable polymorph in this dataset is 0.5862 eV/atom.


# 11
First-principles (PBE) data for a relaxed TbZr2Sn crystal, as listed in the Alexandria database.

Cell: 4.580 4.580 4.573 Å, 90.00 90.00 90.00°
Space group P4/mmm (No. 123)
Inequivalent atoms, fractional coordinates:
Tb  0.000  0.000  0.000 x1
Zr  0.000  0.500  0.500 x2
Sn  0.500  0.500  0.000 x1

Results
The energy is -27.0 eV for the cell shown. The value obtained for the total magnetization is 0.0 μB per formula unit. The value obtained for the formation enthalpy at 0 K is -308 meV/atom. The calculation puts the calculated volume at 95.9 Å³/cell. As for the crystal system: tetragonal. The calculation puts the density of states at the Fermi level at 1.216 states/eV per atom. Its density is 8.0 Mg/m³. Its energy above the most stable polymorph in this dataset is 0.1568 eV/atom.


# 12
First-principles (PBE) data for a relaxed TcSn crystal, as listed in the Alexandria database.

Cell: 3.479 3.707 6.737 Å, 90.00 90.00 90.00°
Space group Pmmn (No. 59, origin choice 2)
Inequivalent atoms, fractional coordinates:
Tc  0.250  0.250  0.003 x2
Sn  0.250  0.750  0.333 x2

Results
The energy is -27.2 eV for the cell shown. The value obtained for the total magnetization is 0.0 μB per formula unit. The value obtained for the formation enthalpy at 0 K is 379 meV/atom. The calculation puts the calculated volume at 86.9 Å³/cell. As for the crystal system: orthorhombic. The calculation puts the density of states at the Fermi level at 0.432 states/eV per atom. Its density is 8.3 Mg/m³.


energy of number 12 (TcSn)?
-27.2 eV for the cell shown


Which formula does entry 9 have?
TbZrSn2